# Sr2PmHg4 | the Alexandria database | GGA-PBE | optimized geometry
data_Sr2PmHg4
_chemical_formula_sum 'Sr2 Pm1 Hg4'
_symmetry_space_group_name_H-M 'P 1'
_symmetry_Int_Tables_number 1
_cell_length_a 5.601
_cell_length_b 5.601
_cell_length_c 8.156
_cell_angle_alpha 110.08
_cell_angle_beta 110.08
_cell_angle_gamma 90.00
loop_
_symmetry_equiv_pos_as_xyz
'x,y,z'
loop_
_atom_site_label
_atom_site_fract_x
_atom_site_fract_y
_atom_site_fract_z
_atom_site_occupancy
Hg1 0.110 0.610 0.221 1
Hg2 0.890 0.390 0.779 1
Hg3 0.390 0.890 0.779 1
Hg4 0.610 0.110 0.221 1
Sr1 0.269 0.269 0.538 1
Sr2 0.731 0.731 0.462 1
Pm1 0.000 0.000 0.000 1
# - E_form: -398 meV per atom
# - SG: No. 139
# - Uncorrected energy: -12.10 eV/cell

***

# Sb2AsBr | the Alexandria database | GGA-PBE | optimized geometry
data_Sb2AsBr
_chemical_formula_sum 'Sb2 As1 Br1'
_symmetry_space_group_name_H-M 'P 1'
_symmetry_Int_Tables_number 1
_cell_length_a 5.405
_cell_length_b 5.405
_cell_length_c 3.412
_cell_angle_alpha 90.00
_cell_angle_beta 90.00
_cell_angle_gamma 90.01
loop_
_symmetry_equiv_pos_as_xyz
'x,y,z'
loop_
_atom_site_label
_atom_site_fract_x
_atom_site_fract_y
_atom_site_fract_z
_atom_site_occupancy
Br1 0.000 0.500 0.500 1
Sb1 0.000 0.000 0.000 1
Sb2 0.500 0.500 0.000 1
As1 0.500 0.000 0.500 1
# - Uncorrected formation energy: 0.318 eV/atom
# - SG: No. 123
# - Uncorrected energy: -13.30 eV/cell

***

# Sc3HgSe | the Alexandria database | GGA-PBE | optimized geometry
data_Sc3HgSe
_chemical_formula_sum 'Sc3 Hg1 Se1'
_symmetry_space_group_name_H-M 'P 1'
_symmetry_Int_Tables_number 1
_cell_length_a 4.967
_cell_length_b 4.967
_cell_length_c 4.967
_cell_angle_alpha 90.00
_cell_angle_beta 90.00
_cell_angle_gamma 90.00
loop_
_symmetry_equiv_pos_as_xyz
'x,y,z'
loop_
_atom_site_label
_atom_site_fract_x
_atom_site_fract_y
_atom_site_fract_z
_atom_site_occupancy
Hg1 0.500 0.500 0.500 1
Sc1 0.000 0.500 0.000 1
Sc2 0.500 0.000 0.000 1
Sc3 0.000 0.000 0.500 1
Se1 0.000 0.000 0.000 1
# - Uncorrected formation energy: -0.529 eV/atom
# - SG: No. 221
# - Uncorrected energy: -25.43 eV/cell

***

# MgFe2W2 | the Alexandria database | GGA-PBE | optimized geometry
data_MgFe2W2
_chemical_formula_sum 'Mg2 Fe4 W4'
_symmetry_space_group_name_H-M 'P 1'
_symmetry_Int_Tables_number 1
_cell_length_a 7.202
_cell_length_b 7.202
_cell_length_c 2.790
_cell_angle_alpha 90.00
_cell_angle_beta 90.00
_cell_angle_gamma 90.00
loop_
_symmetry_equiv_pos_as_xyz
'x,y,z'
loop_
_atom_site_label
_atom_site_fract_x
_atom_site_fract_y
_atom_site_fract_z
_atom_site_occupancy
Fe1 0.869 0.631 0.000 1
Fe2 0.631 0.131 0.000 1
Fe3 0.369 0.869 0.000 1
Fe4 0.131 0.369 0.000 1
W1 0.660 0.840 0.500 1
W2 0.840 0.340 0.500 1
W3 0.340 0.160 0.500 1
W4 0.160 0.660 0.500 1
Mg1 0.500 0.500 0.000 1
Mg2 0.000 0.000 0.000 1
# - E_form: 233 meV per atom
# - SG: No. 127
# - Uncorrected energy: -86.53 eV/cell